(1)
The following is a DFT calculation (GGA-PBE) of NbReW after structural relaxation.

Cell: 3.202 13.595 4.515 Å, 90.00 90.00 90.00°
Fractional coordinates of all 12 atoms:
Nb 0.000 0.083 0.250
Nb 0.000 0.917 0.750
Nb 0.500 0.417 0.750
Nb 0.500 0.583 0.250
Re 0.000 0.415 0.250
Re 0.000 0.585 0.750
Re 0.500 0.085 0.750
Re 0.500 0.915 0.250
W 0.000 0.248 0.750
W 0.000 0.752 0.250
W 0.500 0.252 0.250
W 0.500 0.748 0.750

Computed properties:
**Polymorph energy (0 for the lowest one)**: 0 meV/atom
**Raw total energy**: -11.9682 eV per atom

(2)
The following is a DFT calculation (GGA-PBE) of Nb4ReW2 after structural relaxation.

Cell: 6.371 6.371 6.399 Å, 90.00 90.00 90.00°
Fractional coordinates of all 14 atoms:
Nb 0.250 0.250 0.250
Nb 0.250 0.250 0.750
Nb 0.250 0.750 0.250
Nb 0.250 0.750 0.750
Nb 0.750 0.250 0.250
Nb 0.750 0.250 0.750
Nb 0.750 0.750 0.250
Nb 0.750 0.750 0.750
Re 0.000 0.000 0.000
Re 0.500 0.500 0.500
W 0.000 0.500 0.000
W 0.000 0.500 0.500
W 0.500 0.000 0.000
W 0.500 0.000 0.500

Computed properties:
**Polymorph energy (0 for the lowest one)**: 0 meV/atom
**Raw total energy**: -11.0250 eV per atom

(3)
The following is a DFT calculation (GGA-PBE) of NbReW after structural relaxation.

Cell: 4.516 4.516 5.540 Å, 90.00 90.00 120.00°
Fractional coordinates of all 6 atoms:
Nb 0.333 0.667 0.084
Nb 0.667 0.333 0.916
Re 0.333 0.667 0.583
Re 0.667 0.333 0.417
W 0.000 0.000 0.253
W 0.000 0.000 0.747

Computed properties:
**Polymorph energy (0 for the lowest one)**: 65 meV/atom
**Raw total energy**: -11.9036 eV per atom

(4)
The following is a DFT calculation (GGA-PBE) of Nb4ReW3 after structural relaxation.

Cell: 9.195 5.472 5.474 Å, 90.00 90.00 90.00°
Fractional coordinates of all 16 atoms:
Nb 0.000 0.225 0.000
Nb 0.000 0.728 0.002
Nb 0.249 0.414 0.247
Nb 0.251 0.586 0.747
Nb 0.500 0.272 0.502
Nb 0.500 0.775 0.500
Nb 0.749 0.586 0.747
Nb 0.751 0.414 0.247
Re 0.000 0.267 0.502
Re 0.500 0.733 0.002
W 0.000 0.771 0.497
W 0.248 0.086 0.744
W 0.252 0.914 0.244
W 0.500 0.229 0.997
W 0.748 0.914 0.244
W 0.752 0.086 0.744

Computed properties:
**Polymorph energy (0 for the lowest one)**: 265 meV/atom
**Raw total energy**: -11.3075 eV per atom

(5)
The following is a DFT calculation (GGA-PBE) of Nb4ReW after structural relaxation.

Cell: 4.418 4.418 6.278 Å, 90.00 90.00 90.00°
Fractional coordinates of all 6 atoms:
Nb 0.000 0.500 0.248
Nb 0.000 0.500 0.752
Nb 0.500 0.000 0.248
Nb 0.500 0.000 0.752
Re 0.000 0.000 0.000
W 0.500 0.500 0.500

Computed properties:
**Polymorph energy (0 for the lowest one)**: 679 meV/atom
**Raw total energy**: -10.4210 eV per atom

(6)
The following is a DFT calculation (GGA-PBE) of Nb8Re2W after structural relaxation.

Cell: 6.986 6.986 4.910 Å, 105.45 105.45 81.89°
Fractional coordinates of all 11 atoms:
Nb 0.076 0.076 0.290
Nb 0.168 0.651 0.188
Nb 0.230 0.230 0.883
Nb 0.349 0.832 0.812
Nb 0.651 0.168 0.188
Nb 0.770 0.770 0.117
Nb 0.832 0.349 0.812
Nb 0.924 0.924 0.710
Re 0.367 0.367 0.451
Re 0.633 0.633 0.549
W 0.500 0.500 0.000

Computed properties:
**Raw total energy**: -10.1050 eV per atom

(7)
The following is a DFT calculation (GGA-PBE) of ZrNbReW2 after structural relaxation.

Cell: 4.744 4.744 4.791 Å, 90.00 90.00 90.00°
Fractional coordinates of all 5 atoms:
Zr 0.000 0.000 0.000
Nb 0.500 0.500 0.500
Re 0.500 0.500 0.000
W 0.000 0.500 0.500
W 0.500 0.000 0.500

Computed properties:
**Raw total energy**: -9.6102 eV per atom

(8)
The following is a DFT calculation (GGA-PBE) of YNb2Re2 after structural relaxation.

Cell: 4.394 4.394 10.841 Å, 90.00 90.00 90.00°
Fractional coordinates of all 10 atoms:
Y 0.000 0.000 0.000
Y 0.500 0.500 0.500
Nb 0.000 0.500 0.250
Nb 0.000 0.500 0.750
Nb 0.500 0.000 0.250
Nb 0.500 0.000 0.750
Re 0.000 0.000 0.384
Re 0.000 0.000 0.616
Re 0.500 0.500 0.116
Re 0.500 0.500 0.884

Computed properties:
**Polymorph energy (0 for the lowest one)**: 0 meV/atom
**Raw total energy**: -10.2448 eV per atom

(9)
The following is a DFT calculation (GGA-PBE) of Y2NbRe3 after structural relaxation.

Cell: 5.545 5.545 5.545 Å, 58.85 58.85 58.85°
Fractional coordinates of all 6 atoms:
Y 0.122 0.122 0.122
Y 0.878 0.878 0.878
Nb 0.500 0.500 0.500
Re 0.000 0.500 0.500
Re 0.500 0.000 0.500
Re 0.500 0.500 0.000

Computed properties:
**Raw total energy**: -10.2179 eV per atom

(10)
The following is a DFT calculation (GGA-PBE) of YNb2Re2 after structural relaxation.

Cell: 7.874 7.874 3.087 Å, 90.00 90.00 90.00°
Fractional coordinates of all 10 atoms:
Y 0.000 0.000 0.000
Y 0.500 0.500 0.000
Nb 0.146 0.354 0.500
Nb 0.354 0.854 0.500
Nb 0.646 0.146 0.500
Nb 0.854 0.646 0.500
Re 0.145 0.645 0.000
Re 0.355 0.145 0.000
Re 0.645 0.855 0.000
Re 0.855 0.355 0.000

Computed properties:
**Polymorph energy (0 for the lowest one)**: 118 meV/atom
**Raw total energy**: -10.1265 eV per atom

(11)
The following is a DFT calculation (GGA-PBE) of Y2NbRe2 after structural relaxation.

Cell: 3.512 3.512 19.145 Å, 90.00 90.00 90.00°
Fractional coordinates of all 10 atoms:
Y 0.000 0.000 0.113
Y 0.000 0.000 0.887
Y 0.500 0.500 0.387
Y 0.500 0.500 0.613
Nb 0.000 0.000 0.500
Nb 0.500 0.500 0.000
Re 0.000 0.500 0.250
Re 0.000 0.500 0.750
Re 0.500 0.000 0.250
Re 0.500 0.000 0.750

Computed properties:
**Polymorph energy (0 for the lowest one)**: 444 meV/atom
**Raw total energy**: -9.0130 eV per atom

(12)
The following is a DFT calculation (GGA-PBE) of YNbRe4 after structural relaxation.

Cell: 5.314 5.314 5.314 Å, 60.00 60.00 60.00°
Fractional coordinates of all 6 atoms:
Y 0.000 0.000 0.000
Nb 0.250 0.250 0.250
Re 0.126 0.625 0.625
Re 0.625 0.126 0.625
Re 0.625 0.625 0.126
Re 0.625 0.625 0.625

Computed properties:
**Raw total energy**: -11.1259 eV per atom

Question: The lowest raw total energy belongs to which entry?
Answer: number 1

Question: Look up the raw total energy of the sixth one.
Answer: -10.1050 eV per atom